1.
Density functional theory data (PBEsol) for a relaxed InPb2SeCl crystal.

Computed properties:
* E_form (uncorrected): 0.177 eV per atom
* final energy: -3.191 eV per atom

Lattice parameters (Å, degrees): 4.9833 5.6787 5.6787 90.00 90.00 90.00
Last column: nearest neighbours and their distance in Å.
Sites, in units of the cell vectors:
1 Pb 0.0000 0.0000 0.5000  2 Se 2.84
2 Pb 0.0000 0.5000 0.0000  2 Se 2.84
3 Cl 0.5000 0.0000 0.0000  2 Se 2.49
4 Se 0.0000 0.0000 0.0000  2 Cl 2.49
5 In 0.5000 0.5000 0.5000  8 Pb 3.78, 4 Cl 4.02



2.
Density functional theory data (PBEsol) for a relaxed InPdCl2 crystal.

Computed properties:
* E_form (uncorrected): -0.274 eV per atom
* final energy: -3.513 eV per atom

Lattice parameters (Å, degrees): 3.7547 3.7547 9.7446 54.01 54.01 71.58
Last column: nearest neighbours and their distance in Å.
Sites, in units of the cell vectors:
1 Cl 0.0545 0.0545 0.3036  1 Pd 2.39
2 Cl 0.9455 0.9455 0.6964  1 Pd 2.39
3 Pd 0.5000 0.5000 0.5000  2 Cl 2.39
4 In 0.0000 0.0000 0.0000  6 Cl 3.05-3.21, 2 Pd 3.39



3.
Density functional theory data (PBEsol) for a relaxed InTePdCl2 crystal.

Computed properties:
* E_form (uncorrected): -0.085 eV per atom
* final energy: -3.381 eV per atom

Lattice parameters (Å, degrees): 4.9449 5.4194 5.4194 90.00 90.00 90.00
Last column: nearest neighbours and their distance in Å.
Sites, in units of the cell vectors:
1 Cl 0.0000 0.0000 0.5000  2 Te 2.71
2 Cl 0.0000 0.5000 0.0000  2 Te 2.71
3 Te 0.0000 0.0000 0.0000  2 Pd 2.47, 4 Cl 2.71
4 Pd 0.5000 0.0000 0.0000  2 Te 2.47
5 In 0.5000 0.5000 0.5000  8 Cl 3.67, 4 Pd 3.83



4.
Density functional theory data (PBEsol) for a relaxed In2PtCl crystal.

Computed properties:
* E_form (uncorrected): -0.122 eV per atom
* polymorph energy (0 for the lowest one): 339.9 meV per atom
* final energy: -3.856 eV per atom

Lattice parameters (Å, degrees): 3.8666 3.8666 6.5329 107.21 107.21 90.00
Last column: nearest neighbours and their distance in Å.
Sites, in units of the cell vectors:
1 Cl 0.2500 0.7500 0.5000  4 In 2.73
2 Pt 0.5000 0.5000 0.0000  4 In 2.73
3 In 0.0000 0.0000 0.0000  4 Pt 2.73
4 In 0.7500 0.2500 0.5000  4 Cl 2.73



5.
Density functional theory data (PBEsol) for a relaxed In2PtCl crystal.

Computed properties:
* E_form (uncorrected): -0.462 eV per atom
* polymorph energy (0 for the lowest one): 0.0 meV per atom
* final energy: -4.196 eV per atom

Lattice parameters (Å, degrees): 3.6959 3.6959 7.6105 80.68 80.68 62.91
Last column: nearest neighbours and their distance in Å.
Sites, in units of the cell vectors:
1 Cl 0.0000 0.0000 0.5000  2 In 2.77
2 Pt 0.5000 0.5000 0.0000  6 In 2.66-2.67
3 In 0.2054 0.2054 0.7911  3 Pt 2.66-2.67, 1 Cl 2.77
4 In 0.7946 0.7946 0.2089  3 Pt 2.66-2.67, 1 Cl 2.77



6.
Density functional theory data (PBEsol) for a relaxed InPt3Cl crystal.

Computed properties:
* E_form (uncorrected): 0.839 eV per atom
* final energy: -4.337 eV per atom

Lattice parameters (Å, degrees): 4.5522 4.5522 4.5522 90.00 90.00 90.00
Last column: nearest neighbours and their distance in Å.
Sites, in units of the cell vectors:
1 Cl 0.0000 0.0000 0.0000  6 Pt 2.28
2 Pt 0.0000 0.5000 0.0000  2 Cl 2.28
3 Pt 0.0000 0.0000 0.5000  2 Cl 2.28
4 Pt 0.5000 0.0000 0.0000  2 Cl 2.28
5 In 0.5000 0.5000 0.5000  12 Pt 3.22